# 1
Below is a relaxed structure of LaCoMo2, with properties calculated at the PBE-GGA level.

Values from the calculation:
The formation energy is 0.825 eV per atom. The total energy comes out at -7.599 eV/atom.

Lattice parameters (Å, degrees): 8.9688 8.9688 8.9688 148.98 148.98 44.43
Positions (direct):
La (0.3750, 0.6250, 0.7500)
La (0.6250, 0.3750, 0.2500)
Co (0.1250, 0.8750, 0.2500)
Co (0.8750, 0.1250, 0.7500)
Mo (0.0000, 0.0000, 0.0000)
Mo (0.0000, 0.0000, 0.5000)
Mo (0.0000, 0.5000, 0.0000)
Mo (0.5000, 0.0000, 0.5000)

***

# 2
Below is a relaxed structure of YMg2Os, with properties calculated at the PBE-GGA level.

Values from the calculation:
The formation energy is 0.354 eV per atom. The total energy comes out at -4.867 eV/atom.

Lattice parameters (Å, degrees): 2.9460 2.9460 9.8702 90.00 90.00 108.33
Positions (direct):
Y (0.0000, 0.0000, 0.0000)
Mg (0.5000, 0.5000, 0.2911)
Mg (0.5000, 0.5000, 0.7089)
Os (0.0000, 0.0000, 0.5000)

***

# 3
Below is a relaxed structure of In8BiPb3, with properties calculated at the PBE-GGA level.

Values from the calculation:
The formation energy is 0.024 eV per atom. The total energy comes out at -3.052 eV/atom.

Lattice parameters (Å, degrees): 7.6912 7.6912 5.9631 90.15 90.15 96.76
Positions (direct):
In (0.0855, 0.0855, 0.2523)
In (0.0851, 0.5880, 0.5022)
In (0.2473, 0.2507, 0.7432)
In (0.4109, 0.4180, 0.2516)
In (0.4120, 0.9149, 0.4978)
In (0.5820, 0.5891, 0.7484)
In (0.7493, 0.7527, 0.2568)
In (0.9145, 0.9145, 0.7477)
Bi (0.7478, 0.2522, 0.5000)
Pb (0.2486, 0.7514, 0.0000)
Pb (0.5797, 0.0839, 0.9995)
Pb (0.9161, 0.4203, 0.0005)

***

# 4
Below is a relaxed structure of TlVSbI6, with properties calculated at the PBE-GGA level.

Values from the calculation:
For the formation energy (no corrections), the calculation gives -3.84 eV/f.u. The total energy comes out at -3.195 eV/atom.

Lattice parameters (Å, degrees): 7.6601 7.6601 7.6312 90.00 90.00 120.00
Positions (direct):
Tl (0.0000, 0.0000, 0.0000)
V (0.3333, 0.6667, 0.5000)
Sb (0.6667, 0.3333, 0.5000)
I (0.0214, 0.3798, 0.7196)
I (0.0214, 0.6416, 0.2804)
I (0.3584, 0.3798, 0.2804)
I (0.3584, 0.9786, 0.7196)
I (0.6202, 0.6416, 0.7196)
I (0.6202, 0.9786, 0.2804)

***

# 5
Below is a relaxed structure of KNaSbI2, with properties calculated at the PBE-GGA level.

Values from the calculation:
For the formation energy (no corrections), the calculation gives -2.03 eV/f.u. The total energy comes out at -2.334 eV/atom.

Lattice parameters (Å, degrees): 6.1839 6.1839 6.0603 90.00 90.00 90.00
Positions (direct):
K (0.0000, 0.0000, 0.0000)
Na (0.5000, 0.5000, 0.5000)
Sb (0.5000, 0.5000, 0.0000)
I (0.0000, 0.5000, 0.5000)
I (0.5000, 0.0000, 0.5000)

***

# 6
Below is a relaxed structure of LiPm2Ni2H6, with properties calculated at the PBE-GGA level.

Values from the calculation:
The total energy comes out at -4.306 eV/atom.

Lattice parameters (Å, degrees): 5.9971 5.9971 5.9971 49.83 49.83 49.83
Positions (direct):
Li (0.0000, 0.0000, 0.0000)
Pm (0.2357, 0.2357, 0.2357)
Pm (0.7643, 0.7643, 0.7643)
Ni (0.4164, 0.4164, 0.4164)
Ni (0.5836, 0.5836, 0.5836)
H (0.2140, 0.7554, 0.7554)
H (0.2446, 0.2446, 0.7860)
H (0.2446, 0.7860, 0.2446)
H (0.7554, 0.2140, 0.7554)
H (0.7554, 0.7554, 0.2140)
H (0.7860, 0.2446, 0.2446)

***

# 7
Below is a relaxed structure of Tb6SmHo3Tm2, with properties calculated at the PBE-GGA level.

Values from the calculation:
The formation energy is 0.017 eV per atom. The total energy comes out at -4.581 eV/atom.

Lattice parameters (Å, degrees): 6.1345 6.1345 11.7403 94.97 94.97 119.95
Positions (direct):
Tb (0.0818, 0.4158, 0.2496)
Tb (0.2501, 0.2501, 0.7503)
Tb (0.4158, 0.0818, 0.2496)
Tb (0.5842, 0.9182, 0.7504)
Tb (0.7499, 0.7499, 0.2497)
Tb (0.9182, 0.5842, 0.7504)
Sm (0.5000, 0.5000, 0.5000)
Ho (0.0000, 0.0000, 0.0000)
Ho (0.3330, 0.6670, 0.0000)
Ho (0.6670, 0.3330, 0.0000)
Tm (0.1667, 0.8333, 0.5000)
Tm (0.8333, 0.1667, 0.5000)

***

# 8
Below is a relaxed structure of Pr3ErTm3, with properties calculated at the PBE-GGA level.

Values from the calculation:
The formation energy is 0.025 eV per atom. The total energy comes out at -4.591 eV/atom.

Lattice parameters (Å, degrees): 9.6211 9.6211 5.7605 90.00 90.00 120.00
Positions (direct):
Pr (0.0505, 0.2459, 0.2500)
Pr (0.1954, 0.9495, 0.2500)
Pr (0.2459, 0.1954, 0.7500)
Pr (0.7541, 0.8046, 0.2500)
Pr (0.8046, 0.0505, 0.7500)
Pr (0.9495, 0.7541, 0.7500)
Er (0.3333, 0.6667, 0.2500)
Er (0.6667, 0.3333, 0.7500)
Tm (0.0960, 0.4814, 0.7500)
Tm (0.3854, 0.9040, 0.7500)
Tm (0.4814, 0.3854, 0.2500)
Tm (0.5186, 0.6146, 0.7500)
Tm (0.6146, 0.0960, 0.2500)
Tm (0.9040, 0.5186, 0.2500)

***

# 9
Below is a relaxed structure of Ag2PtF7, with properties calculated at the PBE-GGA level.

Values from the calculation:
For the formation energy (no corrections), the calculation gives -11.05 eV/f.u. The total energy comes out at -3.590 eV/atom.

Lattice parameters (Å, degrees): 7.0669 7.0669 8.9167 122.36 122.36 55.41
Positions (direct):
Ag (0.1131, 0.3067, 0.3260)
Ag (0.3067, 0.1131, 0.8260)
Ag (0.6933, 0.8869, 0.1740)
Ag (0.8869, 0.6933, 0.6740)
Pt (0.3249, 0.6751, 0.2500)
Pt (0.6751, 0.3249, 0.7500)
F (0.0233, 0.9767, 0.2500)
F (0.1560, 0.5469, 0.9772)
F (0.1743, 0.6073, 0.3420)
F (0.2667, 0.4875, 0.6740)
F (0.3927, 0.8257, 0.1580)
F (0.4531, 0.8440, 0.5228)
F (0.4875, 0.2667, 0.1740)
F (0.5125, 0.7333, 0.8260)
F (0.5469, 0.1560, 0.4772)
F (0.6073, 0.1743, 0.8420)
F (0.7333, 0.5125, 0.3260)
F (0.8257, 0.3927, 0.6580)
F (0.8440, 0.4531, 0.0228)
F (0.9767, 0.0233, 0.7500)

***

# 10
Below is a relaxed structure of TbPmPr2Er, with properties calculated at the PBE-GGA level.

Values from the calculation:
The formation energy is 0.253 eV per atom. The total energy comes out at -4.448 eV/atom.

Lattice parameters (Å, degrees): 6.3575 8.1549 6.6868 90.00 90.00 90.00
Positions (direct):
Tb (0.0000, 0.0000, 0.0000)
Tb (0.5000, 0.0000, 0.0000)
Pm (0.2500, 0.0000, 0.4190)
Pm (0.7500, 0.0000, 0.5810)
Pr (0.2500, 0.3026, 0.7029)
Pr (0.2500, 0.6974, 0.7029)
Pr (0.7500, 0.3026, 0.2971)
Pr (0.7500, 0.6974, 0.2971)
Er (0.2500, 0.5000, 0.1708)
Er (0.7500, 0.5000, 0.8292)

***

# 11
Below is a relaxed structure of CrCo2HRh, with properties calculated at the PBE-GGA level.

Values from the calculation:
The total energy comes out at -6.909 eV/atom.

Lattice parameters (Å, degrees): 3.6683 3.6683 3.7681 90.00 90.00 90.00
Positions (direct):
Cr (0.0000, 0.0000, 0.0000)
Co (0.0000, 0.5000, 0.5000)
Co (0.5000, 0.0000, 0.5000)
H (0.5000, 0.5000, 0.5000)
Rh (0.5000, 0.5000, 0.0000)

***

# 12
Below is a relaxed structure of PrCu2BO4, with properties calculated at the PBE-GGA level.

Values from the calculation:
For the formation energy (no corrections), the calculation gives -14.63 eV/f.u. The total energy comes out at -6.764 eV/atom.

Lattice parameters (Å, degrees): 4.8538 4.8538 4.8538 114.69 113.71 100.38
Positions (direct):
Pr (0.0000, 0.0000, 0.0000)
Cu (0.2858, 0.7858, 0.5000)
Cu (0.7142, 0.2142, 0.5000)
B (0.5000, 0.5000, 0.0000)
O (0.1965, 0.1952, 0.6706)
O (0.4755, 0.8048, 0.0013)
O (0.5245, 0.5259, 0.3294)
O (0.8035, 0.4741, 0.9987)